No. 1
Entry from Alexandria via LeMat-Bulk: crystalline Sm2Zn7Pd at its relaxed geometry (PBE).

```
Sm2Zn7Pd
1.0
4.125 0.000 0.000
0.000 4.125 0.000
0.000 0.000 11.033
Sm Zn Pd
2 7 1
Direct
0.000 0.500 0.249
0.500 0.000 0.751
0.000 0.000 0.000
0.000 0.500 0.639
0.000 0.500 0.864
0.500 0.000 0.136
0.500 0.000 0.361
0.500 0.500 0.000
0.500 0.500 0.500
0.000 0.000 0.500
```

Fermi-level density of states ... 6.67 states/eV per cell
E_form ... -3.75 eV per formula unit

---

No. 2
Entry from Alexandria via LeMat-Bulk: crystalline Tb3DyTm at its relaxed geometry (PBE).

```
Tb3DyTm
1.0
6.260 0.000 0.000
0.000 5.614 0.000
-3.127 0.000 9.034
Tb Dy Tm
6 2 2
Direct
0.133 0.250 0.100
0.268 0.750 0.702
0.334 0.250 0.500
0.666 0.750 0.500
0.732 0.250 0.298
0.867 0.750 0.900
0.065 0.750 0.299
0.935 0.250 0.701
0.466 0.750 0.099
0.534 0.250 0.901
```

Fermi-level density of states ... 16.26 states/eV per cell
E_form ... 0.04 eV per formula unit